Record 1
CsRe3N5 GGA-PBE relaxed; symmetry = No. 191; crystal system = hexagonal; M_tot = 0.01 μB/atom; E = -72.712 eV/cell
1.0
-4.2689 2.1725 2.0809
-0.4436 -3.2766 -4.0424
-0.5492 -5.0845 4.1816
Cs N Re
1 5 3
Cartesian
0.0000 0.0000 0.0000 Cs
-3.1561 -1.1464 1.2756 N
-1.8810 -2.9628 -0.7655 N
-0.2746 -2.5423 2.0908 N
-3.3807 -3.2258 2.9857 N
-2.1056 -5.0422 0.9446 N
-2.4091 -1.4560 3.1313 Re
-0.4964 -4.1806 0.0696 Re
-2.6308 -3.0943 1.1101 Re

=====

Record 2
CsWN2 GGA-PBE relaxed; symmetry = No. 227; crystal system = cubic; M_tot = 0.00 μB/atom; E = -64.635 eV/cell
1.0
-0.9082 -1.6934 5.8920
-5.7445 -0.1963 2.3175
-2.6387 -5.4587 1.2838
Cs N W
2 4 2
Cartesian
-4.6457 -3.6742 4.7466 Cs
-6.9685 -5.5113 7.1200 Cs
-1.1614 -0.9185 1.1867 N
-1.6155 -1.7653 4.1327 N
-4.0337 -1.0167 2.3454 N
-2.4808 -3.6479 1.8285 N
0.0000 0.0000 0.0000 W
-2.3228 -1.8371 2.3733 W

=====

- Which value of E does entry 1 give?
  -72.712 eV/cell